A geometry-optimized Tb6Pm2SmY structure, computed with PBE-GGA.

Summary:
- symmetry = C2/c
- N(E_F) (states/eV/atom) = 1.41
- energy (eV per atom) = -4.7335

a b c (Å): 9.738 8.836 8.836
angles (deg): 118.30 94.42 94.42
Fractional positions:
Pm  0.958  0.702  0.805
Pm  0.542  0.195  0.298
Pm  0.458  0.805  0.702
Pm  0.042  0.298  0.195
Tb  0.620  0.495  0.707
Tb  0.815  0.427  0.979
Tb  0.556  0.745  0.123
Tb  0.685  0.021  0.573
Tb  0.880  0.293  0.505
Tb  0.380  0.505  0.293
Tb  0.315  0.979  0.427
Tb  0.185  0.573  0.021
Tb  0.444  0.255  0.877
Tb  0.056  0.123  0.745
Tb  0.120  0.707  0.495
Tb  0.944  0.877  0.255
Sm  0.250  0.980  0.020
Sm  0.750  0.020  0.980
Y  0.250  0.407  0.593
Y  0.750  0.593  0.407

A geometry-optimized HoTiPt2 structure, computed with PBE-GGA.

Summary:
- symmetry = P4/mmm
- N(E_F) (states/eV/atom) = 0.68
- polymorph energy (0 for the lowest one) (kcal/mol of atoms) = 0.08

a b c (Å): 3.210 3.210 7.133
angles (deg): 90.00 90.00 90.00
Fractional positions:
Ti  0.500  0.500  0.000
Pt  0.000  0.000  0.793
Pt  0.000  0.000  0.207
Ho  0.500  0.500  0.500

A geometry-optimized Na2CdIn2 structure, computed with PBE-GGA.

Summary:
- symmetry = P4/mbm
- N(E_F) (states/eV/atom) = 0.39
- polymorph energy (0 for the lowest one) (kcal/mol of atoms) = 3.54

a b c (Å): 8.855 8.855 3.535
angles (deg): 90.00 90.00 90.00
Fractional positions:
Na  0.635  0.135  0.000
Na  0.365  0.865  0.000
Na  0.865  0.635  0.000
Na  0.135  0.365  0.000
Cd  0.500  0.500  0.000
Cd  0.000  0.000  0.000
In  0.664  0.836  0.500
In  0.164  0.664  0.500
In  0.336  0.164  0.500
In  0.836  0.336  0.500

A geometry-optimized TbNdDy2Er2 structure, computed with PBE-GGA.

Summary:
- symmetry = Pnnm
- N(E_F) (states/eV/atom) = 1.59
- energy (eV per atom) = -4.3422

a b c (Å): 3.389 6.529 17.780
angles (deg): 90.00 90.00 90.00
Fractional positions:
Nd  0.500  0.500  0.500
Nd  0.000  0.000  0.000
Dy  0.500  0.723  0.686
Dy  0.000  0.223  0.814
Dy  0.500  0.277  0.314
Dy  0.000  0.777  0.186
Er  0.500  0.779  0.352
Er  0.000  0.279  0.148
Er  0.000  0.721  0.852
Er  0.500  0.221  0.648
Tb  0.000  0.000  0.500
Tb  0.500  0.500  0.000

A geometry-optimized SiMo2Br structure, computed with PBE-GGA.

Summary:
- uncorrected formation energy (eV per atom) = 0.305
- symmetry = C2/m
- N(E_F) (states/eV/atom) = 0.58
- polymorph energy (0 for the lowest one) (kcal/mol of atoms) = 3.86

a b c (Å): 4.469 4.469 7.391
angles (deg): 62.75 62.75 42.39
Fractional positions:
Si  0.750  0.750  0.750
Mo  0.531  0.531  0.609
Mo  0.969  0.969  0.891
Br  0.250  0.250  0.250

A geometry-optimized TiHg3Br structure, computed with PBE-GGA.

Summary:
- uncorrected formation energy (eV per atom) = 0.287
- symmetry = Pm-3m
- N(E_F) (states/eV/atom) = 1.94

a b c (Å): 5.530 5.530 5.530
angles (deg): 90.00 90.00 90.00
Fractional positions:
Ti  0.000  0.000  0.000
Br  0.500  0.500  0.500
Hg  0.500  0.000  0.000
Hg  0.000  0.000  0.500
Hg  0.000  0.500  0.000

A geometry-optimized DyMgCoIr structure, computed with PBE-GGA.

Summary:
- symmetry = F-43m
- N(E_F) (states/eV/atom) = 0.68
- energy (eV per atom) = -5.8230

a b c (Å): 4.589 4.589 4.589
angles (deg): 60.00 60.00 60.00
Fractional positions:
Co  0.500  0.500  0.500
Mg  0.250  0.250  0.250
Ir  0.000  0.000  0.000
Dy  0.750  0.750  0.750

A geometry-optimized Pr3Th5Bi8 structure, computed with PBE-GGA.

Summary:
- symmetry = R-3m
- N(E_F) (states/eV/atom) = 0.65
- energy (eV per atom) = -5.8748

a b c (Å): 9.227 9.227 9.223
angles (deg): 59.99 59.99 60.00
Fractional positions:
Pr  0.500  0.000  0.500
Pr  0.000  0.000  0.500
Pr  0.000  0.500  0.500
Bi  0.750  0.750  0.249
Bi  0.250  0.250  0.751
Bi  0.750  0.251  0.249
Bi  0.749  0.749  0.753
Bi  0.749  0.250  0.751
Bi  0.251  0.750  0.249
Bi  0.250  0.749  0.751
Bi  0.251  0.251  0.247
Th  0.500  0.000  0.000
Th  0.500  0.500  0.500
Th  0.000  0.500  0.000
Th  0.500  0.500  0.000
Th  0.000  0.000  0.000

A geometry-optimized Mg4Pa3IrN8 structure, computed with PBE-GGA.

Summary:
- uncorrected formation energy (eV per atom) = -0.990
- symmetry = C2/m

a b c (Å): 6.321 6.306 7.122
angles (deg): 119.14 116.34 90.00
Fractional positions:
Pa  0.500  0.500  0.000
Pa  0.500  0.500  0.500
Pa  0.000  0.500  0.500
N  0.794  0.290  0.065
N  0.276  0.261  0.551
N  0.702  0.201  0.405
N  0.729  0.710  0.935
N  0.724  0.739  0.449
N  0.206  0.710  0.935
N  0.298  0.799  0.595
N  0.271  0.290  0.065
Mg  0.000  0.000  0.000
Mg  0.500  0.000  0.000
Mg  0.500  0.000  0.500
Mg  0.000  0.000  0.500
Ir  0.000  0.500  0.000

A geometry-optimized AcLaNpN4 structure, computed with PBE-GGA.

Summary:
- uncorrected formation energy (eV per atom) = -1.231
- symmetry = I4mm
- N(E_F) (states/eV/atom) = 0.38

a b c (Å): 4.252 4.252 7.217
angles (deg): 107.13 107.13 90.00
Fractional positions:
Ac  0.352  0.352  0.704
Np  0.001  0.001  0.002
La  0.647  0.647  0.294
N  0.830  0.830  0.660
N  0.164  0.164  0.328
N  0.503  0.003  0.006
N  0.003  0.503  0.006

A geometry-optimized Pr9CdSn2 structure, computed with PBE-GGA.

Summary:
- symmetry = P4/mmm
- N(E_F) (states/eV/atom) = 1.38
- energy (eV per atom) = -4.6693

a b c (Å): 5.011 5.011 14.945
angles (deg): 90.00 90.00 90.00
Fractional positions:
Pr  0.500  0.000  0.500
Pr  0.000  0.500  0.831
Pr  0.500  0.500  0.667
Pr  0.500  0.500  0.333
Pr  0.500  0.500  0.000
Pr  0.500  0.000  0.831
Pr  0.000  0.500  0.169
Pr  0.500  0.000  0.169
Pr  0.000  0.500  0.500
Sn  0.000  0.000  0.667
Sn  0.000  0.000  0.333
Cd  0.000  0.000  0.000

A geometry-optimized Ag17Pt12 structure, computed with PBE-GGA.

Summary:
- symmetry = I-43m
- N(E_F) (states/eV/atom) = 0.70
- energy (eV per atom) = -4.1279

a b c (Å): 8.681 8.681 8.681
angles (deg): 109.47 109.47 109.47
Fractional positions:
Pt  0.187  0.817  0.187
Pt  0.370  0.183  0.370
Pt  0.183  0.370  0.370
Pt  0.370  0.370  0.183
Pt  0.817  0.187  0.187
Pt  0.187  0.187  0.817
Pt  0.000  0.630  0.813
Pt  0.630  0.813  0.000
Pt  0.813  0.000  0.630
Pt  0.000  0.813  0.630
Pt  0.813  0.630  0.000
Pt  0.630  0.000  0.813
Ag  0.724  0.409  0.409
Ag  0.000  0.000  0.357
Ag  0.685  0.276  0.685
Ag  0.409  0.409  0.724
Ag  0.000  0.000  0.000
Ag  0.643  0.643  0.643
Ag  0.409  0.724  0.409
Ag  0.685  0.685  0.276
Ag  0.000  0.591  0.315
Ag  0.591  0.315  0.000
Ag  0.591  0.000  0.315
Ag  0.357  0.000  0.000
Ag  0.000  0.315  0.591
Ag  0.315  0.591  0.000
Ag  0.000  0.357  0.000
Ag  0.276  0.685  0.685
Ag  0.315  0.000  0.591